A plane-wave DFT calculation with GGA-PBEsol was carried out for an optimized crystal structure of Cr4AsW.

energy relative to the elements = 0.230 eV/atom
crystal system = cubic

Cell lengths 6.688, 6.688, 6.688 Å; angles 90.00, 90.00, 90.00 degrees
Space group F-43m (No. 216)
Inequivalent atoms, fractional coordinates:
Cr (0.124, 0.124, 0.124) [16 per cell]
As (0.250, 0.250, 0.750) [4 per cell]
W (0.000, 0.000, 0.500) [4 per cell]

A plane-wave DFT calculation with GGA-PBEsol was carried out for an optimized crystal structure of NaCaBeGa2.

energy relative to the elements = 0.069 eV/atom
crystal system = tetragonal

Cell lengths 4.507, 4.507, 4.897 Å; angles 90.00, 90.00, 90.00 degrees
Space group P4/mmm (No. 123)
Inequivalent atoms, fractional coordinates:
Na (0.000, 0.000, 0.000) [1 per cell]
Ca (0.500, 0.500, 0.000) [1 per cell]
Be (0.000, 0.000, 0.500) [1 per cell]
Ga (0.000, 0.500, 0.500) [2 per cell]

A plane-wave DFT calculation with GGA-PBEsol was carried out for an optimized crystal structure of Ru.

energy relative to the elements = 1.379 eV/atom
crystal system = cubic
energy above the most stable polymorph in this dataset = 1378.8 meV per atom

Cell lengths 5.390, 5.390, 5.390 Å; angles 90.00, 90.00, 90.00 degrees
Space group Fd-3m (No. 227, origin choice 2)
Inequivalent atoms, fractional coordinates:
Ru (0.125, 0.125, 0.125) [8 per cell]

A plane-wave DFT calculation with GGA-PBEsol was carried out for an optimized crystal structure of MgTl4Ag.

energy relative to the elements = 0.307 eV/atom
crystal system = cubic

Cell lengths 8.754, 8.754, 8.754 Å; angles 90.00, 90.00, 90.00 degrees
Space group F-43m (No. 216)
Inequivalent atoms, fractional coordinates:
Mg (0.000, 0.000, 0.000) [4 per cell]
Tl (0.125, 0.125, 0.375) [16 per cell]
Ag (0.250, 0.250, 0.750) [4 per cell]

Q: energy relative to the elements of number 2 (NaCaBeGa2)?
A: 0.069 eV/atom

What did the second record say?
A plane-wave DFT calculation with GGA-PBEsol was carried out for an optimized crystal structure of NaCaBeGa2.

energy relative to the elements = 0.069 eV/atom
crystal system = tetragonal

Cell lengths 4.507, 4.507, 4.897 Å; angles 90.00, 90.00, 90.00 degrees
Space group P4/mmm (No. 123)
Inequivalent atoms, fractional coordinates:
Na (0.000, 0.000, 0.000) [1 per cell]
Ca (0.500, 0.500, 0.000) [1 per cell]
Be (0.000, 0.000, 0.500) [1 per cell]
Ga (0.000, 0.500, 0.500) [2 per cell]

Q: Number 4 is which compound?
A: MgTl4Ag